## KSeO2 (PBE)

Data for a relaxed KSeO2 crystal.

## Properties
Symmetry: R-3m
DOS at the Fermi energy (states/eV/cell): 1.6
ΔE_f (raw) (meV/atom): -667
Raw total energy (eV per atom): -4.29
Size of the total moment (μB/cell): 0.0

a b c (Å): 7.2583 7.2583 7.2583
angles (deg): 27.60 27.60 27.60
Positions (direct):
Se: 0.0000 0.0000 0.0000
K: 0.5000 0.5000 0.5000
O: 0.0848 0.0848 0.0848
O: 0.9152 0.9152 0.9152